Material: MgCoCuO4
Method: DFT, GGA+U
State: optimized geometry

Values from the calculation:
- Total energy: -5.630 eV/atom

Geometry as CIF:
```
data_MgCoCuO4
_chemical_formula_sum 'Mg4 Co4 Cu4 O16'
_cell_length_a 5.810
_cell_length_b 5.853
_cell_length_c 8.385
_cell_angle_alpha 90.00
_cell_angle_beta 90.00
_cell_angle_gamma 90.00
_symmetry_space_group_name_H-M 'I m m a'
_symmetry_Int_Tables_number 74
_symmetry_space_group_name_Hall '-I 2b 2'
loop_
_atom_site_label
_atom_site_fract_x
_atom_site_fract_y
_atom_site_fract_z
Mg1 0.000 0.250 0.121
Co1 0.250 0.250 0.750
Cu1 0.000 0.000 0.500
O1 0.000 0.030 0.744
O2 0.231 0.250 0.521
```